PBE BePtI2O, optimized geometry; formation energy from raw total energies = -1.6 eV/f.u.; excess energy over the best structure of this formula in the dataset = 0.000 eV per atom; N(E_F) = 2.70 states/eV/f.u.; space-group type = P4/mmm, No. 123; volume = 100.2 Å³ per cell; M_tot = 0.00 μB/f.u.; total energy = -3.876 eV per atom
1.0
5.850 0.000 0.000
0.000 5.850 0.000
0.000 0.000 2.927
Be Pt I O
1 1 2 1
Direct
0.000 0.000 0.000
0.500 0.500 0.500
0.000 0.500 0.000
0.500 0.000 0.000
0.000 0.000 0.500


PBE PAu2F, optimized geometry; formation energy from raw total energies = -0.2 eV/f.u.; excess energy over the best structure of this formula in the dataset = 0.154 eV per atom; N(E_F) = 2.77 states/eV/f.u.; space-group type = Fm-3m, No. 225; volume = 60.9 Å³ per cell; M_tot = 0.00 μB/f.u.; total energy = -3.515 eV per atom
1.0
0.000 3.123 3.123
3.123 0.000 3.123
3.123 3.123 0.000
P Au F
1 2 1
Direct
0.000 0.000 0.000
0.250 0.250 0.250
0.750 0.750 0.750
0.500 0.500 0.500


PBE KSnBrCl2, optimized geometry; formation energy from raw total energies = -6.4 eV/f.u.; N(E_F) = 0.00 states/eV/f.u.; space-group type = P4/mmm, No. 123; volume = 182.1 Å³ per cell; M_tot = 0.00 μB/f.u.; total energy = -3.365 eV per atom
1.0
5.561 0.000 0.000
0.000 5.561 0.000
0.000 0.000 5.888
K Sn Br Cl
1 1 1 2
Direct
0.000 0.000 0.000
0.500 0.500 0.500
0.500 0.500 0.000
0.000 0.500 0.500
0.500 0.000 0.500


- Look up the N(E_F) of the third one.
  0.00 states/eV/f.u.


- What is the total energy in the first record?
  -3.876 eV per atom


- Which value of N(E_F) does entry 1 give?
  2.70 states/eV/f.u.


What did the second record say?
PBE PAu2F, optimized geometry; formation energy from raw total energies = -0.2 eV/f.u.; excess energy over the best structure of this formula in the dataset = 0.154 eV per atom; N(E_F) = 2.77 states/eV/f.u.; space-group type = Fm-3m, No. 225; volume = 60.9 Å³ per cell; M_tot = 0.00 μB/f.u.; total energy = -3.515 eV per atom
1.0
0.000 3.123 3.123
3.123 0.000 3.123
3.123 3.123 0.000
P Au F
1 2 1
Direct
0.000 0.000 0.000
0.250 0.250 0.250
0.750 0.750 0.750
0.500 0.500 0.500